# 1
{
  "formula": "NdCdInSe3",
  "functional": "PBE",
  "state": "relaxed",
  "cell": [[14.4380, 0.0000, 0.0000], [0.0000, 4.3292, 0.0000], [0.0000, 0.0000, 11.6014]],
  "species": ["Nd", "Nd", "Nd", "Nd", "Cd", "Cd", "Cd", "Cd", "In", "In", "In", "In", "Se", "Se", "Se", "Se", "Se", "Se", "Se", "Se", "Se", "Se", "Se", "Se"],
  "frac_coords": [[0.0297, 0.2500, 0.1559], [0.4703, 0.7500, 0.6559], [0.5297, 0.2500, 0.3441], [0.9703, 0.7500, 0.8441], [0.0244, 0.7500, 0.3985], [0.4756, 0.2500, 0.8985], [0.5244, 0.7500, 0.1015], [0.9756, 0.2500, 0.6015], [0.2480, 0.2500, 0.4622], [0.2520, 0.7500, 0.9622], [0.7480, 0.2500, 0.0378], [0.7520, 0.7500, 0.5378], [0.0887, 0.7500, 0.6215], [0.1013, 0.2500, 0.9209], [0.1543, 0.7500, 0.2348], [0.3457, 0.2500, 0.7348], [0.3987, 0.7500, 0.4209], [0.4113, 0.2500, 0.1215], [0.5887, 0.7500, 0.8785], [0.6013, 0.2500, 0.5791], [0.6543, 0.7500, 0.2652], [0.8457, 0.2500, 0.7652], [0.8987, 0.7500, 0.0791], [0.9113, 0.2500, 0.3785]],
  "space_group": "No. 62",
  "crystal_system": "orthorhombic",
  "de_polymorph_mev_per_atom": 4,
  "total_magnetization_mub_per_fu": 0.00
}


# 2
{
  "formula": "InGaTe4Au2",
  "functional": "PBE",
  "state": "relaxed",
  "cell": [[-3.1984, 3.1984, 6.4137], [3.1984, -3.1984, 6.4137], [3.1984, 3.1984, -6.4137]],
  "species": ["In", "Ga", "Te", "Te", "Te", "Te", "Au", "Au"],
  "frac_coords": [[0.0000, 0.0000, 0.0000], [0.2500, 0.7500, 0.5000], [0.1317, 0.6168, 0.0088], [0.3832, 0.3920, 0.5149], [0.6080, 0.1229, 0.9912], [0.8771, 0.8683, 0.4851], [0.5000, 0.5000, 0.0000], [0.7500, 0.2500, 0.5000]],
  "space_group": "No. 82",
  "crystal_system": "tetragonal",
  "final_energy_ev_per_atom": -3.3497
}


# 3
{
  "formula": "DyYPd2",
  "functional": "PBE",
  "state": "relaxed",
  "cell": [[4.4891, 0.0000, 0.0000], [0.0000, 5.6812, 0.0000], [0.0000, 0.0000, 6.9078]],
  "species": ["Dy", "Dy", "Y", "Y", "Pd", "Pd", "Pd", "Pd"],
  "frac_coords": [[0.0000, 0.1092, 0.0000], [0.0000, 0.8908, 0.5000], [0.5000, 0.3911, 0.3621], [0.5000, 0.6089, 0.8621], [0.0000, 0.4018, 0.6392], [0.0000, 0.5982, 0.1392], [0.5000, 0.0959, 0.7236], [0.5000, 0.9041, 0.2236]],
  "space_group": "No. 26",
  "crystal_system": "orthorhombic",
  "total_magnetization_mub_per_fu": 0.01,
  "final_energy_ev_per_atom": -6.2712
}


# 4
{
  "formula": "YBiPt2",
  "functional": "PBE",
  "state": "relaxed",
  "cell": [[0.0000, 3.4676, 3.4676], [3.4676, 0.0000, 3.4676], [3.4676, 3.4676, 0.0000]],
  "species": ["Y", "Bi", "Pt", "Pt"],
  "frac_coords": [[0.0000, 0.0000, 0.0000], [0.7500, 0.7500, 0.7500], [0.2500, 0.2500, 0.2500], [0.5000, 0.5000, 0.5000]],
  "space_group": "No. 216",
  "crystal_system": "cubic",
  "total_magnetization_mub_per_fu": 0.00,
  "final_energy_ev_per_atom": -6.1405
}


# 5
{
  "formula": "Lu4Nb2Ni3C3",
  "functional": "PBE",
  "state": "relaxed",
  "cell": [[4.9175, -2.8546, 0.0000], [4.9175, 2.8546, 0.0000], [-3.1696, 0.0000, 14.0864]],
  "species": ["Lu", "Lu", "Lu", "Lu", "Lu", "Lu", "Lu", "Lu", "Nb", "Nb", "Nb", "Nb", "Ni", "Ni", "Ni", "Ni", "Ni", "Ni", "C", "C", "C", "C", "C", "C"],
  "frac_coords": [[0.0431, 0.1883, 0.0990], [0.1247, 0.3008, 0.4008], [0.1883, 0.0431, 0.5990], [0.3008, 0.1247, 0.9008], [0.6992, 0.8753, 0.0992], [0.8117, 0.9569, 0.4010], [0.8753, 0.6992, 0.5992], [0.9569, 0.8117, 0.9010], [0.3503, 0.5268, 0.0830], [0.4732, 0.6497, 0.4170], [0.5268, 0.3503, 0.5830], [0.6497, 0.4732, 0.9170], [0.0765, 0.9235, 0.7500], [0.0971, 0.4202, 0.7512], [0.4202, 0.0971, 0.2512], [0.5798, 0.9029, 0.7488], [0.9029, 0.5798, 0.2488], [0.9235, 0.0765, 0.2500], [0.0000, 0.5000, 0.0000], [0.2027, 0.6486, 0.5000], [0.3514, 0.7973, 0.0000], [0.5000, 0.0000, 0.5000], [0.6486, 0.2027, 0.0000], [0.7973, 0.3514, 0.5000]],
  "space_group": "No. 15",
  "crystal_system": "monoclinic",
  "total_magnetization_mub_per_fu": 0.02,
  "final_energy_ev_per_atom": -7.0440
}


# 6
{
  "formula": "BaPaPO",
  "functional": "PBE",
  "state": "relaxed",
  "cell": [[4.2726, 0.0000, 0.0000], [0.0000, 8.6952, 0.0000], [0.0000, 0.0000, 5.7327]],
  "species": ["Ba", "Ba", "Pa", "Pa", "P", "P", "O", "O"],
  "frac_coords": [[0.0000, 0.1142, 0.0000], [0.0000, 0.8858, 0.5000], [0.5000, 0.3265, 0.4986], [0.5000, 0.6735, 0.9986], [0.5000, 0.3585, 0.9998], [0.5000, 0.6415, 0.4998], [0.0000, 0.2236, 0.5000], [0.0000, 0.7764, 0.0000]],
  "space_group": "No. 26",
  "crystal_system": "orthorhombic",
  "de_polymorph_mev_per_atom": 5,
  "total_magnetization_mub_per_fu": 1.59
}


# 7
{
  "formula": "Pr2NdP2N6",
  "functional": "PBE",
  "state": "relaxed",
  "cell": [[-1.8961, 1.8961, 9.7699], [1.8961, -1.8961, 9.7699], [1.8961, 1.8961, -9.7699]],
  "species": ["Pr", "Pr", "Nd", "P", "P", "N", "N", "N", "N", "N", "N"],
  "frac_coords": [[0.1786, 0.1786, 0.0000], [0.8214, 0.8214, 0.0000], [0.0000, 0.0000, 0.0000], [0.3929, 0.3929, 0.0000], [0.6071, 0.6071, 0.0000], [0.0871, 0.5871, 0.5000], [0.3074, 0.3074, 0.0000], [0.4129, 0.9129, 0.5000], [0.5871, 0.0871, 0.5000], [0.6926, 0.6926, 0.0000], [0.9129, 0.4129, 0.5000]],
  "space_group": "No. 139",
  "crystal_system": "tetragonal",
  "total_magnetization_mub_per_fu": 0.00,
  "final_energy_ev_per_atom": -7.5783
}


# 8
{
  "formula": "ZrBeFeGe",
  "functional": "PBE",
  "state": "relaxed",
  "cell": [[0.0000, 2.9933, 2.9933], [2.9933, 0.0000, 2.9933], [2.9933, 2.9933, 0.0000]],
  "species": ["Zr", "Be", "Fe", "Ge"],
  "frac_coords": [[0.0000, 0.0000, 0.0000], [0.2500, 0.2500, 0.2500], [0.7500, 0.7500, 0.7500], [0.5000, 0.5000, 0.5000]],
  "space_group": "No. 216",
  "crystal_system": "cubic",
  "de_polymorph_mev_per_atom": 0,
  "total_magnetization_mub_per_fu": 0.00
}


# 9
{
  "formula": "Na4Cd2SiGe",
  "functional": "PBE",
  "state": "relaxed",
  "cell": [[5.8316, 0.0000, 0.0000], [0.0000, 4.6026, 3.7857], [0.0000, -4.6026, 3.7857]],
  "species": ["Na", "Na", "Na", "Na", "Cd", "Cd", "Si", "Ge"],
  "frac_coords": [[0.0000, 0.1763, 0.8237], [0.0000, 0.8237, 0.1763], [0.5000, 0.1079, 0.4602], [0.5000, 0.4602, 0.1079], [0.2504, 0.6453, 0.6453], [0.7496, 0.6453, 0.6453], [0.5000, 0.9291, 0.9291], [0.0000, 0.3527, 0.3527]],
  "space_group": "No. 38",
  "crystal_system": "orthorhombic",
  "final_energy_ev_per_atom": -2.2057
}


# 10
{
  "formula": "ZnSnSO",
  "functional": "PBE",
  "state": "relaxed",
  "cell": [[6.4326, 0.0000, 0.0000], [0.0000, 6.4980, 0.0000], [0.0000, 0.0000, 13.5494]],
  "species": ["Zn", "Zn", "Zn", "Zn", "Zn", "Zn", "Zn", "Zn", "Sn", "Sn", "Sn", "Sn", "Sn", "Sn", "Sn", "Sn", "S", "S", "S", "S", "S", "S", "S", "S", "O", "O", "O", "O", "O", "O", "O", "O"],
  "frac_coords": [[0.1415, 0.0855, 0.2217], [0.1415, 0.4145, 0.7217], [0.3585, 0.5855, 0.2217], [0.3585, 0.9145, 0.7217], [0.6415, 0.0855, 0.2783], [0.6415, 0.4145, 0.7783], [0.8585, 0.5855, 0.2783], [0.8585, 0.9145, 0.7783], [0.0904, 0.2494, 0.9171], [0.0904, 0.2506, 0.4171], [0.4096, 0.7494, 0.9171], [0.4096, 0.7506, 0.4171], [0.5904, 0.2494, 0.5829], [0.5904, 0.2506, 0.0829], [0.9096, 0.7494, 0.5829], [0.9096, 0.7506, 0.0829], [0.2437, 0.0034, 0.0575], [0.2437, 0.4966, 0.5575], [0.2563, 0.5034, 0.0575], [0.2563, 0.9966, 0.5575], [0.7437, 0.0034, 0.4425], [0.7437, 0.4966, 0.9425], [0.7563, 0.5034, 0.4425], [0.7563, 0.9966, 0.9425], [0.1150, 0.7353, 0.7636], [0.1150, 0.7647, 0.2636], [0.3850, 0.2353, 0.7636], [0.3850, 0.2647, 0.2636], [0.6150, 0.7353, 0.7364], [0.6150, 0.7647, 0.2364], [0.8850, 0.2353, 0.7364], [0.8850, 0.2647, 0.2364]],
  "space_group": "No. 61",
  "crystal_system": "orthorhombic",
  "de_polymorph_mev_per_atom": 299
}


# 11
{
  "formula": "SbOs2",
  "functional": "PBE",
  "state": "relaxed",
  "cell": [[5.2912, -1.4705, 0.0000], [5.2912, 1.4705, 0.0000], [-2.4057, 0.0000, 6.4945]],
  "species": ["Sb", "Sb", "Os", "Os", "Os", "Os"],
  "frac_coords": [[0.1687, 0.1687, 0.1382], [0.8313, 0.8313, 0.8618], [0.1336, 0.1336, 0.5001], [0.4372, 0.4372, 0.2272], [0.5628, 0.5628, 0.7728], [0.8664, 0.8664, 0.4999]],
  "space_group": "No. 12",
  "crystal_system": "monoclinic",
  "total_magnetization_mub_per_fu": 0.01,
  "final_energy_ev_per_atom": -8.3052
}


# 12
{
  "formula": "GdDyMg6",
  "functional": "PBE",
  "state": "relaxed",
  "cell": [[5.1771, 0.0000, 0.0000], [0.0000, 5.1771, 0.0000], [0.0000, 0.0000, 7.3208]],
  "species": ["Gd", "Dy", "Mg", "Mg", "Mg", "Mg", "Mg", "Mg"],
  "frac_coords": [[0.0000, 0.0000, 0.0000], [0.5000, 0.5000, 0.5000], [0.0000, 0.0000, 0.5000], [0.0000, 0.5000, 0.2512], [0.0000, 0.5000, 0.7488], [0.5000, 0.0000, 0.2512], [0.5000, 0.0000, 0.7488], [0.5000, 0.5000, 0.0000]],
  "space_group": "No. 123",
  "crystal_system": "tetragonal",
  "total_magnetization_mub_per_fu": 0.03,
  "final_energy_ev_per_atom": -2.3982
}